No. 1
18
Lattice="9.3388 0.0000 0.0000 -4.6694 8.0876 0.0000 0.0000 0.0000 6.9164" Properties=species:S:1:pos:R:3 comment="GGA-PBE Dy5HoMg3, relaxed" total_energy_ev_per_cell=-64.6 ef_mev_per_atom=8 pbc="T T T"
Dy -1.5545 2.6925 1.7291
Dy -3.1149 5.3951 5.1873
Dy 3.1090 0.0000 1.7291
Dy 1.5545 2.6925 5.1873
Dy 0.0000 5.3917 0.0000
Dy 0.0000 5.3917 3.4582
Dy 6.2298 0.0000 5.1873
Dy 4.6694 2.6959 0.0000
Dy 4.6694 2.6959 3.4582
Dy 3.1149 5.3951 1.7291
Ho 0.0000 0.0000 0.0000
Ho 0.0000 0.0000 3.4582
Mg -1.5559 2.6949 5.1873
Mg -3.1135 5.3928 1.7291
Mg 3.1117 0.0000 5.1873
Mg 1.5559 2.6949 1.7291
Mg 6.2270 0.0000 1.7291
Mg 3.1135 5.3928 5.1873

No. 2
9
Lattice="7.1432 -1.7893 0.0000 7.1432 1.7893 0.0000 -3.4728 0.0000 8.5217" Properties=species:S:1:pos:R:3 comment="GGA-PBE Hf2TiS6, relaxed" total_energy_ev_per_cell=-65.8 pbc="T T T"
Hf 1.2303 0.0000 2.7951
Hf 9.5833 0.0000 5.7265
Ti 7.1432 0.0000 0.0000
S 1.6689 0.0000 0.3103
S 0.6838 0.0000 5.3060
S 4.1929 0.0000 6.1345
S 6.6207 0.0000 2.3872
S 10.1299 0.0000 3.2157
S 9.1447 0.0000 8.2114